# KHgRu2

KHgRu2 after structural relaxation (GGA-PBE, Alexandria via LeMat-Bulk).

Summary:
Its formation energy is 0.6876 eV/atom. Its space group is No. 160. The size of the total moment comes out at 0.126 μB per atom. The uncorrected energy is -4.3001 eV/atom.

Lattice parameters (Å, degrees): 10.540 10.540 10.540 15.98 15.98 15.98
Last column: magnetic moment on the atom in μB.
Fractional positions:
Ru1 0.986 0.986 0.986  0.17
Ru2 0.258 0.258 0.258  0.18
Hg1 0.511 0.511 0.511  0.01
K1 0.745 0.745 0.745  0.02